{
  "formula": "Sc5Co4Ru",
  "functional": "PBE-GGA",
  "state": "relaxed",
  "magmom_total_mub_per_cell": 0.20,
  "space_group": "P4/mmm, No. 123",
  "energy_ev_per_atom": -7.335,
  "dos_at_fermi_per_ev_cell": 4.831,
  "e_form_ev_per_atom": -0.40,
  "lattice_angstrom": [[3.149, 0.000, 0.000], [0.000, 3.149, 0.000], [0.000, 0.000, 15.609]],
  "species": ["Sc", "Sc", "Sc", "Sc", "Sc", "Co", "Co", "Co", "Co", "Ru"],
  "frac_coords": [[0.000, 0.000, 0.000], [0.000, 0.000, 0.199], [0.000, 0.000, 0.398], [0.000, 0.000, 0.602], [0.000, 0.000, 0.801], [0.500, 0.500, 0.099], [0.500, 0.500, 0.295], [0.500, 0.500, 0.705], [0.500, 0.500, 0.901], [0.500, 0.500, 0.500]]
}